DFT (PBE) results for an optimized crystal structure of SmMgSc2.

a b c (Å): 3.3728 3.3728 10.9702
angles (deg): 81.16 81.16 60.00
Fractional coordinates of all 4 atoms:
Sm (0.5004, 0.5004, 0.4989)
Mg (0.6664, 0.6664, 0.0008)
Sc (0.0789, 0.0789, 0.7634)
Sc (0.2543, 0.2543, 0.2370)

Properties
Its crystal system is trigonal. The energy above the most stable polymorph in this dataset comes out at 0.30 eV/f.u. As for the symmetry: R3m, No. 160.


DFT (PBE) results for an optimized crystal structure of Mo2Pd3Pt.

a b c (Å): 9.4091 6.1130 5.2324
angles (deg): 89.96 89.95 39.68
Fractional coordinates of all 12 atoms:
Mo (0.8164, 0.3673, 0.5000)
Mo (0.8158, 0.3684, 0.0000)
Mo (0.1842, 0.6316, 0.0000)
Mo (0.1836, 0.6327, 0.5000)
Pd (0.9084, 0.6734, 0.2504)
Pd (0.5818, 0.3266, 0.2504)
Pd (0.0916, 0.3266, 0.7496)
Pd (0.2002, 0.0000, 0.2493)
Pd (0.7998, 0.0000, 0.7507)
Pd (0.4182, 0.6734, 0.7496)
Pt (0.5210, 0.0000, 0.7500)
Pt (0.4790, 0.0000, 0.2500)

Properties
Its crystal system is orthorhombic. The energy is -7.12 eV/atom. As for the symmetry: Cmcm, No. 63.


DFT (PBE) results for an optimized crystal structure of LaIn2Co.

a b c (Å): 3.3878 3.3878 7.9906
angles (deg): 90.00 90.00 90.04
Fractional coordinates of all 4 atoms:
Co (0.5000, 0.5000, 0.7819)
In (0.0000, 0.0000, 0.9507)
In (0.5000, 0.5000, 0.2202)
La (0.0000, 0.0000, 0.5471)

Properties
Its crystal system is tetragonal. The energy is -4.44 eV/atom. As for the symmetry: P4mm, No. 99.


Quick rundown of size of the total moment, same order as above: 0.0; 0.0; 0.7 μB per formula unit
Quick rundown of Fermi-level density of states, same order as above: 6.9; 12.6; 3.1 states/eV/cell